1.
10
Lattice="7.7222 0.0000 0.0000 0.0000 7.7222 0.0000 0.0000 0.0000 2.7542" Properties=species:S:1:pos:R:3 comment="PBE+U Mo2Ir2F, relaxed" n_ef_per_ev_atom=0.568 de_polymorph_ev_per_atom=0.000 mass_density_g_cm3=12.04 m_tot_mub_per_atom=0.194 pbc="T T T"
Mo 6.4615 2.6004 1.3771
Mo 2.6004 1.2607 1.3771
Mo 5.1218 6.4615 1.3771
Mo 1.2607 5.1218 1.3771
Ir 1.0064 2.8547 0.0000
Ir 6.7158 4.8675 0.0000
Ir 4.8675 1.0064 0.0000
Ir 2.8547 6.7158 0.0000
F 0.0000 0.0000 0.0000
F 3.8611 3.8611 0.0000

=====

2.
5
Lattice="4.7520 0.0000 0.0000 0.0000 4.7520 0.0000 0.0000 0.0000 4.7520" Properties=species:S:1:pos:R:3 comment="PBE+U MoIr3F, relaxed" n_ef_per_ev_atom=1.872 de_polymorph_ev_per_atom=0.748 mass_density_g_cm3=10.70 m_tot_mub_per_atom=0.291 pbc="T T T"
Mo 0.0000 0.0000 0.0000
Ir 0.0000 0.0000 2.3760
Ir 2.3760 0.0000 0.0000
Ir 0.0000 2.3760 0.0000
F 2.3760 2.3760 2.3760

=====

3.
4
Lattice="0.0000 2.9681 2.9681 2.9681 0.0000 2.9681 2.9681 2.9681 0.0000" Properties=species:S:1:pos:R:3 comment="PBE+U MoIrF2, relaxed" n_ef_per_ev_atom=1.152 de_polymorph_ev_per_atom=1.043 mass_density_g_cm3=10.36 m_tot_mub_per_atom=0.143 pbc="T T T"
F 4.4522 4.4522 4.4522
F 1.4841 1.4841 1.4841
Mo 0.0000 0.0000 0.0000
Ir 2.9681 2.9681 2.9681

=====

4.
4
Lattice="3.8491 -0.0743 2.0240 0.4103 -2.0423 3.8181 2.2543 -3.7112 0.2500" Properties=species:S:1:pos:R:3 comment="PBE+U Mo2IrF, relaxed" n_ef_per_ev_atom=0.536 de_polymorph_ev_per_atom=0.054 mass_density_g_cm3=11.50 m_tot_mub_per_atom=0.000 pbc="T T T"
Mo 4.8853 -4.3709 4.5691
Mo 1.6284 -1.4570 1.5230
Ir 3.2569 -2.9139 3.0460
F 0.0000 0.0000 0.0000

=====

5.
8
Lattice="3.8063 0.0000 0.0000 0.0000 3.8063 0.0000 1.9031 1.9031 7.9522" Properties=species:S:1:pos:R:3 comment="PBE+U MoIrF2, relaxed" n_ef_per_ev_atom=0.946 de_polymorph_ev_per_atom=0.347 mass_density_g_cm3=9.40 m_tot_mub_per_atom=0.671 pbc="T T T"
F 0.9697 2.8547 1.9881
F 2.8547 2.8728 5.9642
F 4.7579 4.7397 5.9642
F 2.8366 0.9516 1.9881
Ir 3.8063 1.9031 3.9761
Ir 0.0000 0.0000 0.0000
Mo 1.9031 1.9031 0.0000
Mo 1.9031 3.8063 3.9761

=====

6.
5
Lattice="4.5035 0.0000 0.0000 0.0000 4.5035 0.0000 2.2517 2.2517 4.8486" Properties=species:S:1:pos:R:3 comment="PBE+U Mo2Ir2F, relaxed" n_ef_per_ev_atom=0.502 de_polymorph_ev_per_atom=0.219 mass_density_g_cm3=10.05 m_tot_mub_per_atom=0.711 pbc="T T T"
F 0.0000 0.0000 0.0000
Ir 2.2517 2.2517 1.2251
Ir 4.5035 4.5035 3.6234
Mo 2.2517 4.5035 2.4243
Mo 4.5035 2.2517 2.4243

=====

- What is the formula in the first record?
  Mo2Ir2F